# PrSm14Th

A relaxed PrSm14Th crystal (PBE-GGA, the Alexandria database).

Unit cell a=7.2619 b=7.2619 c=10.2831 alpha=90.00 beta=90.00 gamma=90.00
Element x y z (fractional)
Pr: 0.0000 0.0000 0.0000
Sm: 0.0000 0.0000 0.5000
Sm: 0.0000 0.5000 0.0000
Sm: 0.0000 0.5000 0.5000
Sm: 0.2532 0.2532 0.2490
Sm: 0.2532 0.2532 0.7510
Sm: 0.2532 0.7468 0.2490
Sm: 0.2532 0.7468 0.7510
Sm: 0.5000 0.0000 0.0000
Sm: 0.5000 0.0000 0.5000
Sm: 0.5000 0.5000 0.5000
Sm: 0.7468 0.2532 0.2490
Sm: 0.7468 0.2532 0.7510
Sm: 0.7468 0.7468 0.2490
Sm: 0.7468 0.7468 0.7510
Th: 0.5000 0.5000 0.0000

Volume   542.28 Å³ per cell
Space group   P4/mmm, No. 123
DFT formation energy   2 kJ/mol of atoms
Magnetic moment   0.000 Bohr magnetons per cell